No. 1
## Pm2PrPuAs4 (PBE)

Data for a relaxed Pm2PrPuAs4 crystal.

Calculated values
- Uncorrected energy: -58.24 eV/cell
- Symmetry: P2/m, No. 10
- Energy of formation from the pure elements: -11.033 eV/f.u.

a b c (Å): 4.2361 7.3233 7.3217
angles (deg): 109.46 90.00 90.00
With the nearest neighbours (Å) after each atom.
Atoms (fractional coordinates):
Pm  0.5000  0.0000  0.5000  6 As 2.97-2.98
Pm  0.0000  0.5000  0.5000  6 As 3.03
Pr  0.5000  0.5000  0.0000  6 As 3.01
Pu  0.0000  0.0000  0.0000  6 As 2.95
As  0.5000  0.2422  0.2450  2 Pu 2.95, 3 Pm 2.97-3.03, 1 Pr 3.01
As  0.5000  0.7578  0.7550  2 Pu 2.95, 3 Pm 2.97-3.03, 1 Pr 3.01
As  0.0000  0.2439  0.7504  1 Pu 2.95, 3 Pm 2.98-3.03, 2 Pr 3.01
As  0.0000  0.7561  0.2496  1 Pu 2.95, 3 Pm 2.98-3.03, 2 Pr 3.01

No. 2
## PmPrAs2Rh2 (PBE)

Data for a relaxed PmPrAs2Rh2 crystal.

Calculated values
- Uncorrected energy: -39.98 eV/cell
- Symmetry: P-3m1, No. 164
- Energy of formation from the pure elements: -6.447 eV/f.u.

a b c (Å): 4.2569 4.2569 8.1882
angles (deg): 90.00 90.00 120.00
With the nearest neighbours (Å) after each atom.
Atoms (fractional coordinates):
Pm  0.0000  0.0000  0.5000  6 Rh 3.18, 6 As 3.18
Pr  0.0000  0.0000  0.0000  6 As 3.22, 6 Rh 3.22
As  0.3333  0.6667  0.2532  3 Rh 2.46
As  0.6667  0.3333  0.7468  3 Rh 2.46
Rh  0.3333  0.6667  0.7458  3 As 2.46
Rh  0.6667  0.3333  0.2542  3 As 2.46